[1]
Entry from Alexandria via LeMat-Bulk: a relaxed structure of AcTbSb2Pd5 (GGA-PBE).

```
AcTbSb2Pd5
1.0
5.039 0.000 0.000
0.000 5.039 0.000
0.000 0.000 8.764
Pd Ac Sb Tb
5 1 2 1
Direct
0.000 0.500 0.826 Pd
0.500 0.000 0.174 Pd
0.500 0.500 0.500 Pd
0.500 0.000 0.826 Pd
0.000 0.500 0.174 Pd
0.000 0.000 0.500 Ac
0.500 0.500 0.210 Sb
0.500 0.500 0.790 Sb
0.000 0.000 0.000 Tb
```

Summary:
Its formation energy from raw total energies is -531.6 meV per atom. As for the space-group type: P4/mmm, No. 123. The value obtained for the energy is -5.30 eV per atom.

***

[2]
Entry from Alexandria via LeMat-Bulk: a relaxed structure of Ac2SbTePd6 (GGA-PBE).

```
Ac2SbTePd6
1.0
6.859 0.374 -1.171
0.378 6.977 -1.264
2.796 2.803 3.937
Pd Ac Te Sb
6 2 1 1
Direct
0.735 0.756 0.006 Pd
0.264 0.245 0.497 Pd
0.736 0.755 0.503 Pd
0.920 0.420 0.830 Pd
0.080 0.580 0.170 Pd
0.265 0.244 0.994 Pd
0.727 0.223 0.525 Ac
0.273 0.777 0.475 Ac
0.000 0.000 0.000 Te
0.500 0.500 0.000 Sb
```

Summary:
Its formation energy from raw total energies is -723.1 meV per atom. As for the space-group type: P-1, No. 2. The value obtained for the energy is -5.39 eV per atom.

***

[3]
Entry from Alexandria via LeMat-Bulk: a relaxed structure of Ac3Sb2TePd9 (GGA-PBE).

```
Ac3Sb2TePd9
1.0
-2.441 -4.491 -3.037
-0.919 0.476 5.855
-9.967 6.850 -2.121
Pd Ac Sb Te
9 3 2 1
Direct
0.673 0.836 0.331 Pd
0.000 0.500 0.000 Pd
0.327 0.164 0.669 Pd
0.836 0.673 0.669 Pd
0.164 0.836 0.331 Pd
0.164 0.327 0.331 Pd
0.836 0.164 0.669 Pd
0.500 0.000 0.000 Pd
0.500 0.500 0.000 Pd
0.333 0.667 0.750 Ac
0.667 0.333 0.250 Ac
0.000 0.000 0.000 Ac
0.667 0.333 0.832 Sb
0.333 0.667 0.168 Sb
0.000 0.000 0.500 Te
```

Summary:
Its formation energy from raw total energies is -642.7 meV per atom. As for the space-group type: P-3m1, No. 164. The value obtained for the energy is -5.34 eV per atom.

***

[4]
Entry from Alexandria via LeMat-Bulk: a relaxed structure of AcThSb2Pd2 (GGA-PBE).

```
AcThSb2Pd2
1.0
-0.951 -3.160 3.232
4.377 0.769 -1.262
0.690 5.946 6.017
Pd Sb Ac Th
2 2 1 1
Direct
0.667 0.333 0.709 Pd
0.333 0.667 0.291 Pd
0.333 0.667 0.747 Sb
0.667 0.333 0.253 Sb
0.000 0.000 0.000 Ac
0.000 0.000 0.500 Th
```

Summary:
Its formation energy from raw total energies is -1022.1 meV per atom. As for the space-group type: P-3m1, No. 164. The value obtained for the energy is -6.05 eV per atom.

***

[5]
Entry from Alexandria via LeMat-Bulk: a relaxed structure of Ac2ThSb3Pd4 (GGA-PBE).

```
Ac2ThSb3Pd4
1.0
4.710 0.000 0.000
0.000 4.710 0.000
0.000 0.000 11.466
Pd Ac Sb Th
4 2 3 1
Direct
0.000 0.000 0.000 Pd
0.500 0.000 0.643 Pd
0.000 0.500 0.357 Pd
0.500 0.500 0.000 Pd
0.000 0.500 0.788 Ac
0.500 0.000 0.212 Ac
0.000 0.000 0.500 Sb
0.500 0.000 0.875 Sb
0.000 0.500 0.125 Sb
0.500 0.500 0.500 Th
```

Summary:
Its formation energy from raw total energies is -895.6 meV per atom. As for the space-group type: P-4m2, No. 115. The value obtained for the energy is -5.77 eV per atom.

***

[6]
Entry from Alexandria via LeMat-Bulk: a relaxed structure of Ac2TiSb3Pd4 (GGA-PBE).

```
Ac2TiSb3Pd4
1.0
4.586 0.000 0.000
0.000 4.586 0.000
0.000 0.000 11.044
Sb Pd Ac Ti
3 4 2 1
Direct
0.500 0.000 0.868 Sb
0.000 0.000 0.500 Sb
0.000 0.500 0.132 Sb
0.500 0.000 0.624 Pd
0.000 0.500 0.376 Pd
0.000 0.000 0.000 Pd
0.500 0.500 0.000 Pd
0.000 0.500 0.758 Ac
0.500 0.000 0.242 Ac
0.500 0.500 0.500 Ti
```

Summary:
Its formation energy from raw total energies is -827.3 meV per atom. As for the space-group type: P-4m2, No. 115. The value obtained for the energy is -5.75 eV per atom.

***

[7]
Entry from Alexandria via LeMat-Bulk: a relaxed structure of Ac2TiSb4Pd3 (GGA-PBE).

```
Ac2TiSb4Pd3
1.0
-1.777 2.094 3.778
-2.739 -3.705 0.765
8.045 -4.637 6.355
Ac Pd Sb Ti
2 3 4 1
Direct
0.000 0.500 0.756 Ac
0.500 0.000 0.244 Ac
0.500 0.000 0.873 Pd
0.000 0.000 0.500 Pd
0.000 0.500 0.127 Pd
0.500 0.500 0.000 Sb
0.500 0.000 0.634 Sb
0.000 0.500 0.366 Sb
0.000 0.000 0.000 Sb
0.500 0.500 0.500 Ti
```

Summary:
Its formation energy from raw total energies is -809.4 meV per atom. As for the space-group type: P-4m2, No. 115. The value obtained for the energy is -5.63 eV per atom.

***

[8]
Entry from Alexandria via LeMat-Bulk: a relaxed structure of Ac2TlSb3Pd4 (GGA-PBE).

```
Ac2TlSb3Pd4
1.0
4.698 0.000 0.000
0.000 4.698 0.000
0.000 0.000 10.992
Sb Pd Ac Tl
3 4 2 1
Direct
0.500 0.000 0.874 Sb
0.000 0.500 0.126 Sb
0.000 0.000 0.500 Sb
0.000 0.000 0.000 Pd
0.500 0.500 0.000 Pd
0.500 0.000 0.636 Pd
0.000 0.500 0.364 Pd
0.000 0.500 0.763 Ac
0.500 0.000 0.237 Ac
0.500 0.500 0.500 Tl
```

Summary:
Its formation energy from raw total energies is -816.1 meV per atom. As for the space-group type: P-4m2, No. 115. The value obtained for the energy is -5.19 eV per atom.

***

[9]
Entry from Alexandria via LeMat-Bulk: a relaxed structure of Ac2TlSbPd6 (GGA-PBE).

```
Ac2TlSbPd6
1.0
-4.931 0.262 -5.157
-0.884 -6.380 2.247
-5.194 -2.827 3.397
Ac Sb Tl Pd
2 1 1 6
Direct
0.273 0.750 0.477 Ac
0.727 0.250 0.523 Ac
0.000 0.000 0.000 Sb
0.500 0.500 0.000 Tl
0.077 0.251 0.176 Pd
0.739 0.233 0.998 Pd
0.923 0.749 0.824 Pd
0.261 0.767 0.002 Pd
0.262 0.263 0.506 Pd
0.738 0.737 0.494 Pd
```

Summary:
Its formation energy from raw total energies is -620.6 meV per atom. As for the space-group type: P-1, No. 2. The value obtained for the energy is -5.21 eV per atom.

***

[10]
Entry from Alexandria via LeMat-Bulk: a relaxed structure of Ac2TmSb4Pd3 (GGA-PBE).

```
Ac2TmSb4Pd3
1.0
4.700 0.000 0.000
0.000 4.700 0.000
0.000 0.000 11.751
Ac Sb Pd Tm
2 4 3 1
Direct
0.500 0.000 0.228 Ac
0.000 0.500 0.772 Ac
0.500 0.000 0.650 Sb
0.000 0.000 0.000 Sb
0.000 0.500 0.350 Sb
0.500 0.500 0.000 Sb
0.000 0.000 0.500 Pd
0.000 0.500 0.122 Pd
0.500 0.000 0.878 Pd
0.500 0.500 0.500 Tm
```

Summary:
Its formation energy from raw total energies is -887.8 meV per atom. As for the space-group type: P-4m2, No. 115. The value obtained for the energy is -5.36 eV per atom.

***

[11]
Entry from Alexandria via LeMat-Bulk: a relaxed structure of Ac2TmSb3Pd4 (GGA-PBE).

```
Ac2TmSb3Pd4
1.0
4.622 0.000 0.000
0.000 4.622 0.000
0.000 0.000 11.462
Pd Ac Sb Tm
4 2 3 1
Direct
0.000 0.000 0.000 Pd
0.500 0.500 0.000 Pd
0.500 0.000 0.640 Pd
0.000 0.500 0.360 Pd
0.000 0.500 0.778 Ac
0.500 0.000 0.222 Ac
0.000 0.500 0.128 Sb
0.000 0.000 0.500 Sb
0.500 0.000 0.872 Sb
0.500 0.500 0.500 Tm
```

Summary:
Its formation energy from raw total energies is -953.0 meV per atom. As for the space-group type: P-4m2, No. 115. The value obtained for the energy is -5.54 eV per atom.

***

[12]
Entry from Alexandria via LeMat-Bulk: a relaxed structure of AcYSb2Pd5 (GGA-PBE).

```
AcYSb2Pd5
1.0
-2.264 -2.990 -2.348
-0.382 -2.541 3.603
-8.494 4.594 2.339
Y Pd Sb Ac
1 5 2 1
Direct
0.000 0.000 0.000 Y
0.500 0.500 0.500 Pd
0.500 0.000 0.715 Pd
0.500 0.000 0.285 Pd
0.000 0.500 0.285 Pd
0.000 0.500 0.715 Pd
0.500 0.500 0.856 Sb
0.500 0.500 0.144 Sb
0.000 0.000 0.500 Ac
```

Summary:
Its formation energy from raw total energies is -687.0 meV per atom. As for the space-group type: P4/mmm, No. 123. The value obtained for the energy is -5.66 eV per atom.

***

What is the formula in the tenth record?
Ac2TmSb4Pd3

***

Number 12 is which compound?
AcYSb2Pd5

***

Look up the formation energy from raw total energies of the first one.
-531.6 meV per atom